No. 1
PBE CuNi6W, relaxed; energy of formation = -54 meV per atom; space group = Cmmm, No. 65; distance to the lowest polymorph of the same formula = 18 meV/atom; calculated volume = 369.7 Å³/cell; crystal system = orthorhombic; VASP energy = -6.5214 eV/atom
1.0
-3.753 4.833 -1.071
-3.191 -4.507 2.844
2.490 3.935 9.029
Cu Ni W
4 24 4
direct
0.250 0.750 0.750
0.750 0.250 0.750
0.500 0.500 0.504
0.500 0.500 0.996
0.250 0.750 0.499
0.876 0.626 0.625
0.124 0.374 0.625
0.750 0.250 0.499
0.374 0.124 0.625
0.626 0.876 0.625
0.500 0.500 0.250
0.126 0.376 0.375
0.376 0.126 0.375
0.250 0.750 0.001
0.874 0.624 0.125
0.126 0.376 0.125
0.750 0.250 0.001
0.376 0.126 0.125
0.624 0.874 0.125
0.500 0.500 0.750
0.124 0.374 0.875
0.374 0.124 0.875
0.000 0.000 0.250
0.624 0.874 0.375
0.874 0.624 0.375
0.000 0.000 0.750
0.626 0.876 0.875
0.876 0.626 0.875
0.246 0.754 0.250
0.754 0.246 0.250
0.000 0.000 0.508
0.000 0.000 0.991

No. 2
PBE CuNiW2, relaxed; energy of formation = 215 meV per atom; space group = P4mm, No. 99; distance to the lowest polymorph of the same formula = 75 meV/atom; calculated volume = 55.9 Å³/cell; crystal system = tetragonal; VASP energy = -8.7309 eV/atom
1.0
-1.895 1.702 -1.907
-0.469 -2.565 -1.823
-4.358 -1.396 3.084
Cu Ni W
1 1 2
direct
0.000 0.000 0.519
0.500 0.500 0.732
0.000 0.000 0.992
0.500 0.500 0.256

No. 3
PBE Cu3NiW, relaxed; energy of formation = 1391 meV per atom; space group = Pm-3m, No. 221; distance to the lowest polymorph of the same formula = 0 meV/atom; calculated volume = 76.2 Å³/cell; crystal system = cubic; VASP energy = -4.8134 eV/atom
1.0
-0.234 -0.442 4.210
4.213 0.381 0.274
-0.407 4.199 0.418
Ni Cu W
1 3 1
direct
0.000 0.000 0.000
0.000 0.500 0.000
0.000 0.000 0.500
0.500 0.000 0.000
0.500 0.500 0.500

No. 4
PBE CuNiW2, relaxed; energy of formation = 769 meV per atom; space group = I-42d, No. 122; distance to the lowest polymorph of the same formula = 629 meV/atom; calculated volume = 118.3 Å³/cell; crystal system = tetragonal; VASP energy = -8.1766 eV/atom
1.0
-4.398 -5.025 -1.296
4.146 -4.424 3.084
-1.299 -4.272 3.120
Ni Cu W
2 2 4
direct
0.500 0.500 0.000
0.250 0.750 0.500
0.000 0.000 0.000
0.750 0.250 0.500
0.611 0.125 0.250
0.139 0.625 0.250
0.375 0.389 0.750
0.875 0.861 0.750

No. 5
PBE CuNiW2, relaxed; energy of formation = 409 meV per atom; space group = F-43m, No. 216; distance to the lowest polymorph of the same formula = 268 meV/atom; calculated volume = 57.1 Å³/cell; crystal system = cubic; VASP energy = -8.5373 eV/atom
1.0
-0.818 -0.689 -4.187
2.152 -3.073 -2.145
-2.040 -3.603 -1.239
Cu Ni W
1 1 2
direct
0.500 0.500 0.500
0.750 0.750 0.750
0.000 0.000 0.000
0.250 0.250 0.250

No. 6
PBE Cu2Ni8W, relaxed; energy of formation = 206 meV per atom; space group = C2/m, No. 12; calculated volume = 130.0 Å³/cell; crystal system = monoclinic; VASP energy = -5.9213 eV/atom
1.0
4.182 0.588 -0.956
-1.102 4.251 -2.210
-0.747 0.534 6.869
Cu Ni W
2 8 1
direct
0.685 0.685 0.371
0.315 0.315 0.629
0.133 0.364 0.260
0.872 0.103 0.740
0.745 0.497 0.000
0.696 0.196 0.393
0.304 0.804 0.607
0.255 0.503 0.000
0.128 0.897 0.260
0.867 0.636 0.740
0.500 0.000 0.000

No. 7
PBE CuNiW2, relaxed; energy of formation = 238 meV per atom; space group = P4/mmm, No. 123; distance to the lowest polymorph of the same formula = 98 meV/atom; calculated volume = 55.1 Å³/cell; crystal system = tetragonal; VASP energy = -8.7075 eV/atom
1.0
2.704 0.027 0.000
-0.027 2.704 0.000
0.000 0.000 7.532
Cu Ni W
1 1 2
direct
0.500 0.500 0.250
0.500 0.500 0.750
0.000 0.000 0.996
0.000 0.000 0.504

No. 8
PBE CuNi9W2, relaxed; energy of formation = -25 meV per atom; space group = P4/mmm, No. 123; calculated volume = 140.8 Å³/cell; crystal system = tetragonal; VASP energy = -6.8612 eV/atom
1.0
3.615 0.000 0.000
0.000 3.615 0.000
0.000 0.000 10.773
Cu Ni W
1 9 2
direct
0.000 0.000 0.000
0.500 0.500 0.000
0.500 0.500 0.335
0.500 0.500 0.665
0.500 0.000 0.164
0.500 0.000 0.500
0.500 0.000 0.836
0.000 0.500 0.164
0.000 0.500 0.500
0.000 0.500 0.836
0.000 0.000 0.323
0.000 0.000 0.677

No. 9
PBE CuNiW2, relaxed; energy of formation = 243 meV per atom; space group = I4/mmm, No. 139; distance to the lowest polymorph of the same formula = 102 meV/atom; calculated volume = 55.1 Å³/cell; crystal system = tetragonal; VASP energy = -8.7030 eV/atom
1.0
4.725 0.000 0.000
1.738 4.394 0.000
-3.231 -2.197 2.656
Cu Ni W
1 1 2
direct
0.250 0.750 0.500
0.750 0.250 0.500
0.000 0.000 0.000
0.500 0.500 0.000

No. 10
PBE CuNiW2, relaxed; energy of formation = 318 meV per atom; space group = R-3m, No. 166; distance to the lowest polymorph of the same formula = 177 meV/atom; calculated volume = 56.7 Å³/cell; crystal system = trigonal; VASP energy = -8.6281 eV/atom
1.0
9.046 0.002 0.001
8.640 2.681 0.001
8.640 1.310 2.339
Cu Ni W
1 1 2
direct
0.250 0.250 0.250
0.750 0.750 0.750
0.002 0.002 0.002
0.498 0.498 0.498

No. 11
PBE CuNi3W, relaxed; energy of formation = 1359 meV per atom; space group = Pm-3m, No. 221; distance to the lowest polymorph of the same formula = 1074 meV/atom; calculated volume = 72.9 Å³/cell; crystal system = cubic; VASP energy = -5.5192 eV/atom
1.0
-3.318 -0.740 -2.429
-0.116 -3.948 1.361
-2.536 1.148 3.115
Ni Cu W
3 1 1
direct
0.000 0.500 0.000
0.000 0.000 0.500
0.500 0.000 0.000
0.000 0.000 0.000
0.500 0.500 0.500

No. 12
PBE CuNi6W, relaxed; energy of formation = -72 meV per atom; space group = P4/mmm, No. 123; distance to the lowest polymorph of the same formula = 0 meV/atom; calculated volume = 92.3 Å³/cell; crystal system = tetragonal; VASP energy = -6.5395 eV/atom
1.0
3.610 0.000 0.000
0.000 3.610 0.000
0.000 0.000 7.080
Cu Ni W
1 6 1
direct
0.000 0.000 0.000
0.500 0.500 0.000
0.500 0.500 0.500
0.500 0.000 0.250
0.500 0.000 0.750
0.000 0.500 0.250
0.000 0.500 0.750
0.000 0.000 0.500

The highest calculated volume belongs to which entry? number 1

energy of formation of number 3 (Cu3NiW)? 1391 meV per atom